Fe2Co7Ni3 | PBE | optimized geometry

## Properties
V, Å³/cell: 144
DOS at the Fermi energy, states/eV per atom: 1.1501
Total energy, Ry/atom: -0.4946

Cell: 4.6285 4.6285 8.2298 Å, 73.67 73.67 60.00°
Closest atoms and distances in Å follow each position.
Sites, in units of the cell vectors:
Ni 0.0000 0.0000 0.0000  6 Fe 2.67
Co 0.5901 0.0788 0.7409  5 Co 2.26-2.37, 2 Fe 2.40-2.44
Fe 0.6648 0.6648 0.0056  6 Co 2.40-2.44, 3 Ni 2.67, 3 Fe 2.67
Co 0.9212 0.4099 0.2591  5 Co 2.26-2.37, 2 Fe 2.40-2.44
Co 0.4099 0.9212 0.2591  5 Co 2.26-2.37, 2 Fe 2.40-2.44
Co 0.4099 0.4099 0.2591  5 Co 2.26-2.37, 2 Fe 2.40-2.44
Co 0.5000 0.5000 0.5000  6 Co 2.32
Fe 0.3352 0.3352 0.9944  6 Co 2.40-2.44, 3 Ni 2.67, 3 Fe 2.67
Ni 0.1445 0.1445 0.5666  12 Co 2.68-2.73, 3 Ni 2.87
Ni 0.8555 0.8555 0.4334  12 Co 2.68-2.73, 3 Ni 2.87
Co 0.5901 0.5901 0.7409  5 Co 2.26-2.37, 2 Fe 2.40-2.44
Co 0.0788 0.5901 0.7409  5 Co 2.26-2.37, 2 Fe 2.40-2.44